Record 1
VASP calculation (PBE) on crystalline Na2DyPb5 at its relaxed geometry.

E_form ... -151 kJ/mol of formula units
Electronic total energy ... -3.4180 eV/atom
V ... 29.0 A^3/atom

Cell: 8.0551 8.0551 7.1617 Å, 90.00 90.00 90.00°
Space group I4/mmm (No. 139)
Unique sites:
Na 0.0000 0.5000 0.0000 x4
Dy 0.0000 0.0000 0.0000 x2
Pb 0.0000 0.0000 0.5000 x2
Pb 0.2500 0.2500 0.2500 x8

Record 2
VASP calculation (PBE) on crystalline NaDyPb3 at its relaxed geometry.

E_form ... -102 kJ/mol of formula units
Electronic total energy ... -3.6210 eV/atom
E above lowest polymorph ... 0.0000 eV per atom
V ... 29.3 A^3/atom

Cell: 6.4875 14.1256 6.3973 Å, 90.00 90.08 90.00°
Space group P2/c (No. 13)
Unique sites:
Na 0.0000 0.1019 0.2500 x2
Na 0.5000 0.1018 0.2500 x2
Dy 0.2504 0.3162 0.5027 x4
Pb 0.0000 0.4952 0.7500 x2
Pb 0.2500 0.1061 0.7107 x4
Pb 0.2497 0.2891 0.0111 x4
Pb 0.5000 0.4954 0.7500 x2

Record 3
VASP calculation (PBE) on crystalline NaDy2Pb9 at its relaxed geometry.

E_form ... -268 kJ/mol of formula units
Electronic total energy ... -3.8893 eV/atom
V ... 29.1 A^3/atom

Cell: 4.8439 4.8439 14.8978 Å, 90.00 90.00 90.00°
Space group P4/mmm (No. 123)
Unique sites:
Na 0.0000 0.0000 0.0000 x1
Dy 0.0000 0.0000 0.3372 x2
Pb 0.0000 0.5000 0.1667 x4
Pb 0.0000 0.5000 0.5000 x2
Pb 0.5000 0.5000 0.0000 x1
Pb 0.5000 0.5000 0.3319 x2

Record 4
VASP calculation (PBE) on crystalline Na3DyPb6 at its relaxed geometry.

E_form ... -185 kJ/mol of formula units
Electronic total energy ... -3.2730 eV/atom
V ... 29.1 A^3/atom

Cell: 10.9012 4.8772 10.9299 Å, 90.00 90.36 90.00°
Space group P2_1/m (No. 11)
Unique sites:
Na 0.0032 0.2500 0.2493 x2
Na 0.2052 0.7500 0.3458 x2
Na 0.4017 0.2500 0.4461 x2
Dy 0.3851 0.7500 0.9406 x2
Pb 0.0983 0.2500 0.5396 x2
Pb 0.1035 0.7500 0.0463 x2
Pb 0.1878 0.2500 0.8354 x2
Pb 0.3006 0.7500 0.6458 x2
Pb 0.3088 0.2500 0.1436 x2
Pb 0.4978 0.2500 0.7572 x2

Record 5
VASP calculation (PBE) on crystalline NaDy5Pb6 at its relaxed geometry.

E_form ... -457 kJ/mol of formula units
Electronic total energy ... -4.2766 eV/atom
V ... 28.0 A^3/atom

Cell: 4.9505 8.8957 15.2640 Å, 90.00 90.00 90.00°
Space group Immm (No. 71)
Unique sites:
Na 0.0000 0.0000 0.0000 x2
Dy 0.0000 0.0000 0.3337 x4
Dy 0.0000 0.5000 0.0000 x2
Dy 0.0000 0.5000 0.3426 x4
Pb 0.0000 0.2489 0.5000 x4
Pb 0.0000 0.2509 0.1685 x8

Record 6
VASP calculation (PBE) on crystalline NaDyPb6 at its relaxed geometry.

E_form ... -156 kJ/mol of formula units
Electronic total energy ... -3.7229 eV/atom
V ... 29.3 A^3/atom

Cell: 4.8423 4.8423 10.0052 Å, 90.00 90.00 90.00°
Space group P4/mmm (No. 123)
Unique sites:
Na 0.0000 0.0000 0.0000 x1
Dy 0.0000 0.0000 0.5000 x1
Pb 0.0000 0.5000 0.2499 x4
Pb 0.5000 0.5000 0.0000 x1
Pb 0.5000 0.5000 0.5000 x1

Record 7
VASP calculation (PBE) on crystalline Na3DyPb12 at its relaxed geometry.

E_form ... -244 kJ/mol of formula units
Electronic total energy ... -3.4744 eV/atom
V ... 29.6 A^3/atom

Cell: 4.8518 4.8518 20.1052 Å, 90.00 90.00 90.00°
Space group P4/mmm (No. 123)
Unique sites:
Na 0.0000 0.0000 0.0000 x1
Na 0.0000 0.0000 0.2517 x2
Dy 0.0000 0.0000 0.5000 x1
Pb 0.0000 0.5000 0.1252 x4
Pb 0.0000 0.5000 0.3756 x4
Pb 0.5000 0.5000 0.0000 x1
Pb 0.5000 0.5000 0.2482 x2
Pb 0.5000 0.5000 0.5000 x1

Record 8
VASP calculation (PBE) on crystalline Na2DyPb9 at its relaxed geometry.

E_form ... -201 kJ/mol of formula units
Electronic total energy ... -3.5583 eV/atom
V ... 29.6 A^3/atom

Cell: 4.8603 4.8603 15.0150 Å, 90.00 90.00 90.00°
Space group P4/mmm (No. 123)
Unique sites:
Na 0.0000 0.0000 0.1683 x2
Dy 0.0000 0.0000 0.5000 x1
Pb 0.0000 0.5000 0.0000 x2
Pb 0.0000 0.5000 0.3340 x4
Pb 0.5000 0.5000 0.1645 x2
Pb 0.5000 0.5000 0.5000 x1

Repeat the seventh record exactly.
VASP calculation (PBE) on crystalline Na3DyPb12 at its relaxed geometry.

E_form ... -244 kJ/mol of formula units
Electronic total energy ... -3.4744 eV/atom
V ... 29.6 A^3/atom

Cell: 4.8518 4.8518 20.1052 Å, 90.00 90.00 90.00°
Space group P4/mmm (No. 123)
Unique sites:
Na 0.0000 0.0000 0.0000 x1
Na 0.0000 0.0000 0.2517 x2
Dy 0.0000 0.0000 0.5000 x1
Pb 0.0000 0.5000 0.1252 x4
Pb 0.0000 0.5000 0.3756 x4
Pb 0.5000 0.5000 0.0000 x1
Pb 0.5000 0.5000 0.2482 x2
Pb 0.5000 0.5000 0.5000 x1